# 1
K2Tl8In, optimized geometry, DFT PBE-GGA; energy of formation from the pure elements = -2.2 kJ/mol of atoms; crystal system = tetragonal; size of the total moment = 0.00 Bohr magnetons per cell
1.0
5.293 0.000 0.000
0.000 5.293 0.000
0.000 0.000 12.864
K Tl In
2 8 1
Direct
0.000 0.000 0.185
0.000 0.000 0.815
0.000 0.500 0.000
0.000 0.500 0.366
0.000 0.500 0.634
0.500 0.000 0.000
0.500 0.000 0.366
0.500 0.000 0.634
0.500 0.500 0.178
0.500 0.500 0.822
0.000 0.000 0.500

# 2
Sm6SbP2Se3, optimized geometry, DFT PBE-GGA; crystal system = monoclinic; E_form (uncorrected) = -1.676 eV/atom; size of the total moment = 0.00 Bohr magnetons per cell
1.0
9.192 -2.094 0.000
9.192 2.094 0.000
-1.971 0.000 8.236
Sm Sb P Se
6 1 2 3
Direct
0.008 0.008 0.263
0.327 0.327 0.427
0.328 0.328 0.894
0.672 0.672 0.106
0.673 0.673 0.573
0.992 0.992 0.737
0.500 0.500 0.000
0.168 0.168 0.336
0.832 0.832 0.664
0.163 0.163 0.833
0.500 0.500 0.500
0.837 0.837 0.167

# 3
FeHg2TeRu, optimized geometry, DFT PBE-GGA; crystal system = tetragonal; E_form (uncorrected) = 1.454 eV/atom; size of the total moment = 5.33 Bohr magnetons per cell
1.0
5.612 0.000 0.000
0.000 5.612 0.000
0.000 0.000 4.951
Fe Hg Te Ru
1 2 1 1
Direct
0.000 0.000 0.000
0.000 0.500 0.500
0.500 0.000 0.500
0.500 0.500 0.500
0.500 0.500 0.000

# 4
MoH2OsPb, optimized geometry, DFT PBE-GGA; electronic total energy = -28.31 eV/cell; crystal system = tetragonal; size of the total moment = 0.88 Bohr magnetons per cell
1.0
3.843 0.000 0.000
0.000 3.843 0.000
0.000 0.000 4.967
Mo H Os Pb
1 2 1 1
Direct
0.000 0.000 0.000
0.000 0.500 0.000
0.500 0.000 0.000
0.000 0.000 0.500
0.500 0.500 0.500

# 5
NaLiYSn, optimized geometry, DFT PBE-GGA; energy of formation from the pure elements = -27.0 kJ/mol of atoms; crystal system = cubic; size of the total moment = 0.00 Bohr magnetons per cell
1.0
0.000 3.684 3.684
3.684 0.000 3.684
3.684 3.684 0.000
Na Li Y Sn
1 1 1 1
Direct
0.000 0.000 0.000
0.250 0.250 0.250
0.500 0.500 0.500
0.750 0.750 0.750

# 6
Dy8In2Pd, optimized geometry, DFT PBE-GGA; energy of formation from the pure elements = -29.6 kJ/mol of atoms; crystal system = monoclinic; size of the total moment = 0.00 Bohr magnetons per cell
1.0
9.346 -2.545 0.000
9.346 2.545 0.000
-1.336 0.000 6.593
Dy In Pd
8 2 1
Direct
0.017 0.017 0.271
0.209 0.209 0.809
0.353 0.353 0.516
0.408 0.408 0.036
0.592 0.592 0.964
0.647 0.647 0.484
0.791 0.791 0.191
0.983 0.983 0.729
0.187 0.187 0.257
0.813 0.813 0.743
0.500 0.500 0.500

# 7
PmCuAs, optimized geometry, DFT PBE-GGA; energy of formation from the pure elements = -87.8 kJ/mol of atoms; crystal system = hexagonal; distance to the lowest polymorph of the same formula = 0.0 kJ/mol of atoms; size of the total moment = 0.00 Bohr magnetons per cell
1.0
4.136 0.000 0.000
-2.068 3.582 0.000
0.000 0.000 4.120
Pm Cu As
1 1 1
Direct
0.000 0.000 0.000
0.667 0.333 0.500
0.333 0.667 0.500

# 8
Pm3TeRh, optimized geometry, DFT PBE-GGA; crystal system = monoclinic; distance to the lowest polymorph of the same formula = 33.7 kJ/mol of atoms; E_form (uncorrected) = -0.535 eV/atom; size of the total moment = 0.00 Bohr magnetons per cell
1.0
7.252 0.000 0.000
0.000 4.434 0.000
-1.612 0.000 10.308
Pm Te Rh
6 2 2
Direct
0.033 0.250 0.183
0.285 0.250 0.513
0.438 0.750 0.803
0.562 0.250 0.197
0.715 0.750 0.487
0.967 0.750 0.817
0.273 0.750 0.070
0.727 0.250 0.930
0.107 0.750 0.589
0.893 0.250 0.411